Entry 1:
NaSm2PaTe4 | GGA-PBE | optimized geometry

Unit cell a=7.634 b=4.366 c=7.798 alpha=90.00 beta=108.62 gamma=90.00
Atoms (fractional coordinates):
Na1 0.000 0.000 0.000
Sm1 0.500 0.000 0.500
Sm2 0.500 0.500 0.000
Pa1 0.000 0.500 0.500
Te1 0.245 0.000 0.750
Te2 0.247 0.500 0.250
Te3 0.753 0.500 0.750
Te4 0.755 0.000 0.250

Computed properties:
Energy relative to the elements, uncorrected   -1.135 eV/atom
DFT total energy   -5.237 eV/atom
Magnetic moment   1.54 μB per formula unit
Symmetry   P2/m (10)

***

Entry 2:
TaPbBr2 | GGA-PBE | optimized geometry

Unit cell a=11.300 b=3.292 c=7.308 alpha=90.00 beta=114.26 gamma=90.00
Atoms (fractional coordinates):
Ta1 0.000 0.000 0.000
Ta2 0.500 0.500 0.000
Pb1 0.279 0.000 0.001
Pb2 0.779 0.500 0.001
Br1 0.130 0.500 0.297
Br2 0.472 0.000 0.703
Br3 0.630 0.000 0.297
Br4 0.972 0.500 0.703

Computed properties:
Energy relative to the elements, uncorrected   -0.158 eV/atom
DFT total energy   -4.884 eV/atom
Magnetic moment   0.84 μB per formula unit
Symmetry   Cm (8)
Relative energy among the computed polymorphs   0.10 eV/f.u.

***

Entry 3:
Ta2BiAuO | GGA-PBE | optimized geometry

Unit cell a=5.357 b=5.357 c=5.200 alpha=90.00 beta=90.00 gamma=90.00
Atoms (fractional coordinates):
Ta1 0.000 0.500 0.000
Ta2 0.500 0.000 0.000
Bi1 0.000 0.000 0.000
Au1 0.000 0.000 0.500
O1 0.500 0.500 0.500

Computed properties:
Energy relative to the elements, uncorrected   2.492 eV/atom
DFT total energy   -4.673 eV/atom
Magnetic moment   4.94 μB per formula unit
Symmetry   P4/mmm (123)

***

Entry 4:
Zr2TeS | GGA-PBE | optimized geometry

Unit cell a=3.863 b=3.863 c=20.114 alpha=90.00 beta=90.00 gamma=120.00
Atoms (fractional coordinates):
Zr1 0.000 0.000 0.228
Zr2 0.000 0.000 0.772
Zr3 0.333 0.667 0.439
Zr4 0.333 0.667 0.894
Zr5 0.667 0.333 0.106
Zr6 0.667 0.333 0.561
Te1 0.000 0.000 0.000
Te2 0.333 0.667 0.667
Te3 0.667 0.333 0.333
S1 0.000 0.000 0.500
S2 0.333 0.667 0.167
S3 0.667 0.333 0.833

Computed properties:
Energy relative to the elements, uncorrected   -1.094 eV/atom
DFT total energy   -7.186 eV/atom
Magnetic moment   0.00 μB per formula unit
Symmetry   R-3m (166)
Relative energy among the computed polymorphs   0.01 eV/f.u.

***

Entry 5:
K2MgHg | GGA-PBE | optimized geometry

Unit cell a=10.007 b=10.007 c=6.612 alpha=90.00 beta=90.00 gamma=90.00
Atoms (fractional coordinates):
K1 0.211 0.250 0.125
K2 0.250 0.711 0.375
K3 0.250 0.789 0.875
K4 0.289 0.250 0.625
K5 0.711 0.750 0.625
K6 0.750 0.211 0.875
K7 0.750 0.289 0.375
K8 0.789 0.750 0.125
Mg1 0.000 0.000 0.500
Mg2 0.000 0.500 0.750
Mg3 0.500 0.000 0.250
Mg4 0.500 0.500 0.000
Hg1 0.000 0.000 0.000
Hg2 0.000 0.500 0.250
Hg3 0.500 0.000 0.750
Hg4 0.500 0.500 0.500

Computed properties:
Energy relative to the elements   99 meV per atom
DFT total energy   -0.924 eV/atom
Magnetic moment   0.00 μB per formula unit
Symmetry   I-42d (122)
Relative energy among the computed polymorphs   0.64 eV/f.u.

***

Entry 6:
KGeBr3 | GGA-PBE | optimized geometry

Unit cell a=9.516 b=9.516 c=9.088 alpha=98.35 beta=98.35 gamma=25.76
Atoms (fractional coordinates):
K1 0.190 0.190 0.238
K2 0.810 0.810 0.762
Ge1 0.418 0.418 0.302
Ge2 0.582 0.582 0.698
Br1 0.008 0.008 0.244
Br2 0.179 0.179 0.607
Br3 0.345 0.345 0.047
Br4 0.655 0.655 0.953
Br5 0.821 0.821 0.393
Br6 0.992 0.992 0.756

Computed properties:
Energy relative to the elements, uncorrected   -0.988 eV/atom
DFT total energy   -3.135 eV/atom
Magnetic moment   0.00 μB per formula unit
Symmetry   C2/m (12)

***

Entry 7:
AlTlTc2 | GGA-PBE | optimized geometry

Unit cell a=7.252 b=7.252 c=5.412 alpha=90.00 beta=90.00 gamma=90.00
Atoms (fractional coordinates):
Al1 0.000 0.000 0.000
Al2 0.000 0.500 0.250
Al3 0.500 0.000 0.750
Al4 0.500 0.500 0.500
Tl1 0.000 0.000 0.500
Tl2 0.000 0.500 0.750
Tl3 0.500 0.000 0.250
Tl4 0.500 0.500 0.000
Tc1 0.212 0.250 0.125
Tc2 0.250 0.712 0.375
Tc3 0.250 0.788 0.875
Tc4 0.288 0.250 0.625
Tc5 0.712 0.750 0.625
Tc6 0.750 0.212 0.875
Tc7 0.750 0.288 0.375
Tc8 0.788 0.750 0.125

Computed properties:
Energy relative to the elements   782 meV per atom
DFT total energy   -5.928 eV/atom
Magnetic moment   0.00 μB per formula unit
Symmetry   I-42d (122)
Relative energy among the computed polymorphs   2.62 eV/f.u.

***

Entry 8:
TbNd4S4 | GGA-PBE | optimized geometry

Unit cell a=6.947 b=6.947 c=6.947 alpha=99.82 beta=99.82 gamma=131.22
Atoms (fractional coordinates):
Tb1 0.000 0.000 0.000
Nd1 0.198 0.601 0.799
Nd2 0.399 0.198 0.598
Nd3 0.601 0.802 0.402
Nd4 0.802 0.399 0.201
S1 0.098 0.295 0.393
S2 0.295 0.902 0.198
S3 0.705 0.098 0.802
S4 0.902 0.705 0.607

Computed properties:
Energy relative to the elements, uncorrected   -1.772 eV/atom
DFT total energy   -6.240 eV/atom
Magnetic moment   0.00 μB per formula unit
Symmetry   I4/m (87)